Entry 1:
Computed, not measured: an optimized crystal structure of Tb2Ho6Er3Th at the PBE level of DFT.

Computed properties:
DOS at the Fermi energy, states/eV/f.u.: 15.74
Total energy, eV for the cell shown: -57.52

Structure (POSCAR):
```
Tb2Ho6Er3Th
1.0
6.1181 0.0016 0.0199
-3.0562 5.3001 0.0199
-1.0576 -1.8312 11.5133
Tb Er Ho Th
2 3 6 1
Direct
0.6667 0.3333 0.0000
0.3333 0.6667 0.0000
0.8328 0.1672 0.5000
0.5000 0.5000 0.5000
0.1672 0.8328 0.5000
0.4141 0.0839 0.2507
0.5859 0.9161 0.7493
0.9161 0.5859 0.7493
0.7539 0.7539 0.2507
0.0839 0.4141 0.2507
0.2461 0.2461 0.7493
0.0000 0.0000 0.0000
```

---

Entry 2:
Computed, not measured: an optimized crystal structure of InSiN at the PBE level of DFT.

Computed properties:
DOS at the Fermi energy, states/eV/f.u.: 1.02
Energy relative to the elements, uncorrected, eV/atom: 0.002

Structure (POSCAR):
```
InSiN
1.0
-0.4330 0.6365 -3.6799
6.7087 -2.6003 -1.2392
-2.7550 -6.7093 -0.8363
In Si N
4 4 4
Direct
0.5000 0.0000 0.7447
0.0000 0.7447 0.0000
0.0000 0.2553 0.0000
0.5000 0.0000 0.2553
0.5000 0.3064 0.5000
0.5000 0.6936 0.5000
0.0000 0.5000 0.3064
0.0000 0.5000 0.6936
0.5000 0.5000 0.6725
0.0000 0.3275 0.5000
0.5000 0.5000 0.3275
0.0000 0.6725 0.5000
```

---

Entry 3:
Computed, not measured: an optimized crystal structure of NaPaBi2O6 at the PBE level of DFT.

Computed properties:
DOS at the Fermi energy, states/eV/f.u.: 0.00
Energy relative to the elements, uncorrected, eV/atom: -2.032

Structure (POSCAR):
```
NaPaBi2O6
1.0
6.0592 0.7507 0.7791
2.9701 7.9683 1.2213
2.9701 0.9251 8.0081
O Bi Na Pa
12 4 2 2
Direct
0.8723 0.4394 0.3007
0.2185 0.0136 0.7848
0.7815 0.9864 0.2152
0.6277 0.6993 0.5606
0.3723 0.3007 0.4394
0.2971 0.8848 0.3594
0.2815 0.2152 0.9864
0.7185 0.7848 0.0136
0.2029 0.6406 0.1152
0.7971 0.3594 0.8848
0.1277 0.5606 0.6993
0.7029 0.1152 0.6406
0.8094 0.1736 0.3548
0.3094 0.3548 0.1736
0.1906 0.8264 0.6452
0.6906 0.6452 0.8264
0.7500 0.0897 0.9103
0.2500 0.9103 0.0897
0.2500 0.2580 0.7420
0.7500 0.7420 0.2580
```

---

Entry 4:
Computed, not measured: an optimized crystal structure of TbPm2PrDy4 at the PBE level of DFT.

Computed properties:
DOS at the Fermi energy, states/eV/f.u.: 18.63
Total energy, eV for the cell shown: -68.04

Structure (POSCAR):
```
TbPm2PrDy4
1.0
9.3935 -0.0134 -1.7217
-0.0200 9.3935 -1.7217
-5.9833 -5.9875 8.3217
Dy Pr Tb Pm
8 2 2 4
Direct
0.7492 0.7500 0.5020
0.7518 0.2466 0.9992
0.7500 0.7508 0.9980
0.7466 0.2518 0.4991
0.2534 0.7482 0.5009
0.2508 0.2500 0.4980
0.2482 0.7534 0.0009
0.2500 0.2492 0.0020
0.0000 0.5000 0.5000
0.0000 0.5000 0.0000
0.5000 0.5000 0.5000
0.0000 0.0000 0.0000
0.0000 0.0000 0.5000
0.5000 0.0000 0.0000
0.5000 0.5000 0.0000
0.5000 0.0000 0.5000
```

---

Entry 5:
Computed, not measured: an optimized crystal structure of MnZn2Tc at the PBE level of DFT.

Computed properties:
DOS at the Fermi energy, states/eV/f.u.: 2.91
Total energy, eV for the cell shown: -21.71

Structure (POSCAR):
```
MnZn2Tc
1.0
-1.8619 -3.0742 -1.6635
1.8779 -0.1418 -1.8397
4.6671 -3.5162 1.2741
Zn Tc Mn
2 1 1
Direct
0.0000 0.5011 0.4988
0.0000 0.9989 0.0012
0.5000 0.7500 0.7500
0.5000 0.2500 0.2500
```

---

Entry 6:
Computed, not measured: an optimized crystal structure of Na2InSn at the PBE level of DFT.

Computed properties:
DOS at the Fermi energy, states/eV/f.u.: 2.48
Total energy, eV for the cell shown: -9.25

Structure (POSCAR):
```
Na2InSn
1.0
3.3996 0.0000 0.0000
1.6998 2.9442 0.0000
1.6998 0.9814 11.5971
Sn Na In
1 2 1
Direct
0.0000 0.0000 0.0000
0.9103 0.9103 0.2692
0.0897 0.0897 0.7308
0.5000 0.5000 0.5000
```

---

Entry 7:
Computed, not measured: an optimized crystal structure of Ba2BePtAu at the PBE level of DFT.

Computed properties:
DOS at the Fermi energy, states/eV/f.u.: 3.31
Total energy, eV for the cell shown: -18.95

Structure (POSCAR):
```
Ba2BePtAu
1.0
-2.3940 3.5002 -4.3873
-3.7446 0.2640 2.2539
2.0663 4.9844 2.8491
Ba Au Be Pt
2 1 1 1
Direct
0.0000 0.0000 0.5000
0.5000 0.0000 0.0000
0.5000 0.5000 0.5000
0.0000 0.5000 0.0000
0.0000 0.0000 0.0000
```

---

Entry 8:
Computed, not measured: an optimized crystal structure of MnAlGa2 at the PBE level of DFT.

Computed properties:
DOS at the Fermi energy, states/eV/f.u.: 2.44
Total energy, eV for the cell shown: -18.82

Structure (POSCAR):
```
MnAlGa2
1.0
-2.3507 1.5372 2.9966
-3.7008 -1.6193 0.7421
-0.1432 -2.9495 4.2153
Ga Mn Al
2 1 1
Direct
0.2674 0.2674 0.1977
0.0660 0.0660 0.8021
0.6776 0.6776 0.9673
0.4890 0.4890 0.5329
```